## TiHg3C (PBE)

Data for a relaxed TiHg3C crystal.

Cell and atoms, written as POSCAR:
```
TiHg3C
1.0
5.532 0.000 0.000
0.000 5.532 0.000
0.000 0.000 5.532
Hg Ti C
3 1 1
Direct
0.000 0.500 0.000
0.500 0.000 0.000
0.000 0.000 0.500
0.000 0.000 0.000
0.500 0.500 0.500
```

Calculated values
Polymorph energy (0 for the lowest one): 0.587 eV/atom
DOS at the Fermi energy: 10.48 states/eV/f.u.
Space group: Pm-3m
VASP energy: -1.773 eV per atom
Crystal system: cubic
Formation energy from the elements: 9.16 eV/f.u.